# CoN2ClF PBE+U relaxed
# offset from the most stable computed form: 0 meV per atom
# uncorrected energy: -4.04 eV/atom
data_CoN2ClF
_cell_length_a 3.7846
_cell_length_b 3.7846
_cell_length_c 3.9007
_cell_angle_alpha 90.00
_cell_angle_beta 90.00
_cell_angle_gamma 90.00
_symmetry_space_group_name_H-M 'P 4/m m m'
_symmetry_Int_Tables_number 123
_symmetry_space_group_name_Hall '-P 4 2'
loop_
_atom_site_label
_atom_site_fract_x
_atom_site_fract_y
_atom_site_fract_z
Co1 0.0000 0.0000 0.0000
N1 0.0000 0.5000 0.0000
Cl1 0.5000 0.5000 0.5000
F1 0.0000 0.0000 0.5000